Record 1
Here is a relaxed structure of Ac2ErGa3Rh4 from Alexandria. Energies are from PBE.

Its total energy is -5.938 eV/atom. As for the density of states at the Fermi level: 5.49 states/eV/cell. The calculation puts the calculated volume at 21.138 Å³ per atom. For the formation energy, the calculation gives -0.811 eV per atom.

```
data_Ac2ErGa3Rh4
_chemical_formula_sum 'Ac2 Er1 Ga3 Rh4'
_cell_length_a 4.377
_cell_length_b 4.377
_cell_length_c 11.033
_cell_angle_alpha 90.00
_cell_angle_beta 90.00
_cell_angle_gamma 90.00
_symmetry_space_group_name_H-M 'P -4 m 2'
_symmetry_Int_Tables_number 115
loop_
_symmetry_equiv_pos_as_xyz
'x,y,z'
'y,-x,-z'
'-x,-y,z'
'-y,x,-z'
'-x,y,z'
'-y,-x,-z'
'x,-y,z'
'y,x,-z'
loop_
_atom_site_label
_atom_site_fract_x
_atom_site_fract_y
_atom_site_fract_z
Ac1 0.000 0.500 0.227
Er1 0.000 0.000 0.500
Ga1 0.000 0.500 0.887
Ga2 0.500 0.500 0.500
Rh1 0.000 0.000 0.000
Rh2 0.000 0.500 0.650
Rh3 0.500 0.500 0.000
```


Record 2
Here is a relaxed structure of AcErGa2Rh2 from Alexandria. Energies are from PBE.

Its total energy is -5.709 eV/atom. As for the density of states at the Fermi level: 4.38 states/eV/cell. The calculation puts the calculated volume at 21.571 Å³ per atom. For the formation energy, the calculation gives -0.805 eV per atom.

```
data_AcErGa2Rh2
_chemical_formula_sum 'Ac1 Er1 Ga2 Rh2'
_cell_length_a 4.4733
_cell_length_b 4.4733
_cell_length_c 7.4686
_cell_angle_alpha 90.00
_cell_angle_beta 90.00
_cell_angle_gamma 120.00
_symmetry_space_group_name_H-M 'P -3 m 1'
_symmetry_Int_Tables_number 164
_symmetry_space_group_name_Hall '-P 3 2"'
loop_
_atom_site_label
_atom_site_fract_x
_atom_site_fract_y
_atom_site_fract_z
Ac1 0.0000 0.0000 0.0000
Er1 0.0000 0.0000 0.5000
Ga1 0.3333 0.6667 0.2955
Rh1 0.3333 0.6667 0.6951
```


Record 3
Here is a relaxed structure of AcErGaSi from Alexandria. Energies are from PBE.

Its total energy is -4.672 eV/atom. As for the density of states at the Fermi level: 10.34 states/eV/cell. The calculation puts the calculated volume at 25.502 Å³ per atom. Its energy relative to the elements, uncorrected is -37.8 kJ/mol of atoms.

```
data_AcErGaSi
_chemical_formula_sum 'Ac4 Er4 Ga4 Si4'
_cell_length_a 7.417
_cell_length_b 7.417
_cell_length_c 7.417
_cell_angle_alpha 90.00
_cell_angle_beta 90.00
_cell_angle_gamma 90.00
_symmetry_space_group_name_H-M 'F -4 3 m'
_symmetry_Int_Tables_number 216
_symmetry_space_group_name_Hall 'F -4 2 3'
loop_
_atom_site_label
_atom_site_fract_x
_atom_site_fract_y
_atom_site_fract_z
Ac1 0.000 0.000 0.000
Er1 0.000 0.000 0.500
Ga1 0.250 0.250 0.250
Si1 0.250 0.250 0.750
```


Record 4
Here is a relaxed structure of AcErGaSn from Alexandria. Energies are from PBE.

Its total energy is -4.405 eV/atom. As for the density of states at the Fermi level: 11.04 states/eV/cell. The calculation puts the calculated volume at 28.557 Å³ per atom. For the formation energy, the calculation gives -0.480 eV per atom.

```
data_AcErGaSn
_chemical_formula_sum 'Ac4 Er4 Ga4 Sn4'
_cell_length_a 7.702
_cell_length_b 7.702
_cell_length_c 7.702
_cell_angle_alpha 90.00
_cell_angle_beta 90.00
_cell_angle_gamma 90.00
_symmetry_space_group_name_H-M 'F -4 3 m'
_symmetry_Int_Tables_number 216
_symmetry_space_group_name_Hall 'F -4 2 3'
loop_
_atom_site_label
_atom_site_fract_x
_atom_site_fract_y
_atom_site_fract_z
Ac1 0.000 0.000 0.000
Er1 0.000 0.000 0.500
Ga1 0.250 0.250 0.250
Sn1 0.250 0.250 0.750
```


Record 5
Here is a relaxed structure of AcTbErGa from Alexandria. Energies are from PBE.

Its total energy is -4.019 eV/atom. As for the density of states at the Fermi level: 31.16 states/eV/cell. The calculation puts the calculated volume at 28.911 Å³ per atom. For the formation energy, the calculation gives 0.063 eV per atom.

```
data_AcTbErGa
_chemical_formula_sum 'Ac4 Tb4 Er4 Ga4'
_cell_length_a 7.734
_cell_length_b 7.734
_cell_length_c 7.734
_cell_angle_alpha 90.00
_cell_angle_beta 90.00
_cell_angle_gamma 90.00
_symmetry_space_group_name_H-M 'F -4 3 m'
_symmetry_Int_Tables_number 216
_symmetry_space_group_name_Hall 'F -4 2 3'
loop_
_atom_site_label
_atom_site_fract_x
_atom_site_fract_y
_atom_site_fract_z
Ac1 0.000 0.000 0.000
Tb1 0.250 0.250 0.750
Er1 0.250 0.250 0.250
Ga1 0.000 0.000 0.500
```


Record 6
Here is a relaxed structure of AcErTmGa from Alexandria. Energies are from PBE.

Its total energy is -3.957 eV/atom. As for the density of states at the Fermi level: 30.10 states/eV/cell. The calculation puts the calculated volume at 28.530 Å³ per atom. For the formation energy, the calculation gives 0.085 eV per atom.

```
data_AcErTmGa
_chemical_formula_sum 'Ac4 Er4 Tm4 Ga4'
_cell_length_a 7.700
_cell_length_b 7.700
_cell_length_c 7.700
_cell_angle_alpha 90.00
_cell_angle_beta 90.00
_cell_angle_gamma 90.00
_symmetry_space_group_name_H-M 'F -4 3 m'
_symmetry_Int_Tables_number 216
_symmetry_space_group_name_Hall 'F -4 2 3'
loop_
_atom_site_label
_atom_site_fract_x
_atom_site_fract_y
_atom_site_fract_z
Ac1 0.000 0.000 0.000
Er1 0.250 0.250 0.250
Tm1 0.250 0.250 0.750
Ga1 0.000 0.000 0.500
```


Record 7
Here is a relaxed structure of AcErZn2Ga2 from Alexandria. Energies are from PBE.

Its total energy is -3.419 eV/atom. As for the density of states at the Fermi level: 2.72 states/eV/cell. The calculation puts the calculated volume at 22.665 Å³ per atom. For the formation energy, the calculation gives -0.540 eV per atom.

```
data_AcErZn2Ga2
_chemical_formula_sum 'Ac1 Er1 Zn2 Ga2'
_cell_length_a 4.4753
_cell_length_b 4.4753
_cell_length_c 7.8405
_cell_angle_alpha 90.00
_cell_angle_beta 90.00
_cell_angle_gamma 120.00
_symmetry_space_group_name_H-M 'P -3 m 1'
_symmetry_Int_Tables_number 164
_symmetry_space_group_name_Hall '-P 3 2"'
loop_
_atom_site_label
_atom_site_fract_x
_atom_site_fract_y
_atom_site_fract_z
Ac1 0.0000 0.0000 0.0000
Er1 0.0000 0.0000 0.5000
Zn1 0.3333 0.6667 0.6995
Ga1 0.3333 0.6667 0.2873
```


Record 8
Here is a relaxed structure of Ac2ErZn3Ga4 from Alexandria. Energies are from PBE.

Its total energy is -3.321 eV/atom. As for the density of states at the Fermi level: 6.71 states/eV/cell. The calculation puts the calculated volume at 23.023 Å³ per atom. For the formation energy, the calculation gives -0.451 eV per atom.

```
data_Ac2ErZn3Ga4
_chemical_formula_sum 'Ac2 Er1 Zn3 Ga4'
_cell_length_a 4.501
_cell_length_b 4.501
_cell_length_c 11.366
_cell_angle_alpha 90.00
_cell_angle_beta 90.00
_cell_angle_gamma 90.00
_symmetry_space_group_name_H-M 'P -4 m 2'
_symmetry_Int_Tables_number 115
loop_
_symmetry_equiv_pos_as_xyz
'x,y,z'
'y,-x,-z'
'-x,-y,z'
'-y,x,-z'
'-x,y,z'
'-y,-x,-z'
'x,-y,z'
'y,x,-z'
loop_
_atom_site_label
_atom_site_fract_x
_atom_site_fract_y
_atom_site_fract_z
Ac1 0.000 0.500 0.232
Er1 0.000 0.000 0.500
Zn1 0.000 0.500 0.878
Zn2 0.500 0.500 0.500
Ga1 0.000 0.000 0.000
Ga2 0.000 0.500 0.654
Ga3 0.500 0.500 0.000
```